(1)
Crystalline Ac5Ge3 at its relaxed geometry, computed with PBE.

Unit cell a=8.475 b=8.475 c=9.523 alpha=116.42 beta=116.42 gamma=90.00
Atoms (fractional coordinates):
Ac 0.000 0.000 0.000
Ac 0.500 0.500 0.000
Ac 0.522 0.022 0.710
Ac 0.187 0.687 0.710
Ac 0.687 0.522 0.710
Ac 0.022 0.187 0.710
Ac 0.478 0.978 0.290
Ac 0.813 0.313 0.290
Ac 0.313 0.478 0.290
Ac 0.978 0.813 0.290
Ge 0.750 0.750 0.500
Ge 0.250 0.250 0.500
Ge 0.131 0.631 0.000
Ge 0.869 0.369 0.000
Ge 0.369 0.131 0.000
Ge 0.631 0.869 0.000

Computed properties:
**Energy above the most stable polymorph in this dataset**: 0.00 eV/f.u.
**E_tot**: -4.8677 eV/atom
**DOS at the Fermi energy**: 0.98 states/eV/atom
**DFT formation energy**: -4.548 eV per formula unit

***

(2)
Crystalline Pm2BiPt at its relaxed geometry, computed with PBE.

Unit cell a=4.392 b=4.392 c=7.599 alpha=73.20 beta=73.20 gamma=60.00
Atoms (fractional coordinates):
Bi 0.000 0.000 0.000
Pt 0.500 0.500 0.500
Pm 0.761 0.761 0.717
Pm 0.239 0.239 0.283

Computed properties:
**Energy above the most stable polymorph in this dataset**: 0.00 eV/f.u.
**E_tot**: -5.7508 eV/atom
**DOS at the Fermi energy**: 0.70 states/eV/atom
**DFT formation energy**: -3.580 eV per formula unit

***

(3)
Crystalline CsHg3Au at its relaxed geometry, computed with PBE.

Unit cell a=7.080 b=7.231 c=7.081 alpha=90.00 beta=64.79 gamma=90.00
Atoms (fractional coordinates):
Cs 0.061 0.465 0.138
Cs 0.593 0.966 0.670
Au 0.467 0.465 0.544
Au 0.187 0.965 0.264
Hg 0.545 0.715 0.186
Hg 0.109 0.215 0.622
Hg 0.109 0.715 0.622
Hg 0.706 0.465 0.783
Hg 0.545 0.215 0.186
Hg 0.948 0.965 0.024

Computed properties:
**Energy above the most stable polymorph in this dataset**: 0.02 eV/f.u.
**E_tot**: -1.2275 eV/atom
**DOS at the Fermi energy**: 0.28 states/eV/atom
**DFT formation energy**: -1.101 eV per formula unit

***

(4)
Crystalline Zr2ScIn2 at its relaxed geometry, computed with PBE.

Unit cell a=8.695 b=8.695 c=3.169 alpha=90.00 beta=90.00 gamma=90.00
Atoms (fractional coordinates):
Sc 0.000 0.000 0.000
Sc 0.500 0.500 0.000
Zr 0.379 0.879 0.000
Zr 0.879 0.621 0.000
Zr 0.621 0.121 0.000
Zr 0.121 0.379 0.000
In 0.176 0.676 0.500
In 0.676 0.824 0.500
In 0.824 0.324 0.500
In 0.324 0.176 0.500

Computed properties:
**Energy above the most stable polymorph in this dataset**: 0.77 eV/f.u.
**E_tot**: -5.8418 eV/atom
**DOS at the Fermi energy**: 1.00 states/eV/atom
**DFT formation energy**: -0.304 eV per formula unit

***

(5)
Crystalline NaTaIn2 at its relaxed geometry, computed with PBE.

Unit cell a=4.987 b=4.987 c=4.987 alpha=60.00 beta=60.00 gamma=60.00
Atoms (fractional coordinates):
Na 0.000 0.000 0.000
In 0.250 0.250 0.250
In 0.750 0.750 0.750
Ta 0.500 0.500 0.500

Computed properties:
**Energy above the most stable polymorph in this dataset**: 0.00 eV/f.u.
**E_tot**: -4.1979 eV/atom
**DOS at the Fermi energy**: 1.20 states/eV/atom
**DFT formation energy**: 1.857 eV per formula unit

***

(6)
Crystalline Ba2TiRh at its relaxed geometry, computed with PBE.

Unit cell a=12.101 b=12.101 c=8.875 alpha=47.02 beta=47.02 gamma=90.00
Atoms (fractional coordinates):
Rh 0.000 0.000 0.000
Rh 0.750 0.250 0.500
Ba 0.797 0.125 0.250
Ba 0.953 0.625 0.250
Ba 0.375 0.203 0.750
Ba 0.875 0.047 0.750
Ti 0.500 0.500 0.000
Ti 0.250 0.750 0.500

Computed properties:
**Energy above the most stable polymorph in this dataset**: 0.00 eV/f.u.
**E_tot**: -4.5447 eV/atom
**DOS at the Fermi energy**: 1.78 states/eV/atom
**DFT formation energy**: 0.913 eV per formula unit

***

(7)
Crystalline LiLaMg2Rh at its relaxed geometry, computed with PBE.

Unit cell a=5.183 b=5.183 c=5.303 alpha=90.00 beta=90.00 gamma=90.00
Atoms (fractional coordinates):
Mg 0.000 0.500 0.000
Mg 0.500 0.000 0.000
Li 0.500 0.500 0.500
Rh 0.000 0.000 0.000
La 0.000 0.000 0.500

Computed properties:
**Energy above the most stable polymorph in this dataset**: 0.00 eV/f.u.
**E_tot**: -3.6892 eV/atom
**DOS at the Fermi energy**: 0.75 states/eV/atom
**DFT formation energy**: -1.064 eV per formula unit

***

(8)
Crystalline CeZnIrPd at its relaxed geometry, computed with PBE.

Unit cell a=4.702 b=4.702 c=4.702 alpha=60.00 beta=60.00 gamma=60.00
Atoms (fractional coordinates):
Zn 0.000 0.000 0.000
Ir 0.250 0.250 0.250
Pd 0.750 0.750 0.750
Ce 0.500 0.500 0.500

Computed properties:
**E_tot**: -5.8251 eV/atom
**DOS at the Fermi energy**: 1.03 states/eV/atom
**DFT formation energy**: -2.039 eV per formula unit

***

(9)
Crystalline ReRuAu2 at its relaxed geometry, computed with PBE.

Unit cell a=4.857 b=4.857 c=4.977 alpha=81.02 beta=81.02 gamma=33.53
Atoms (fractional coordinates):
Au 0.997 0.997 0.994
Au 0.753 0.753 0.754
Re 0.507 0.507 0.473
Ru 0.243 0.243 0.279

Computed properties:
**Energy above the most stable polymorph in this dataset**: 0.94 eV/f.u.
**E_tot**: -6.6761 eV/atom
**DOS at the Fermi energy**: 0.78 states/eV/atom
**DFT formation energy**: 1.574 eV per formula unit

***

(10)
Crystalline Nd2CoAs4Rh3 at its relaxed geometry, computed with PBE.

Unit cell a=4.287 b=4.287 c=9.917 alpha=90.00 beta=90.00 gamma=90.00
Atoms (fractional coordinates):
Nd 0.500 0.000 0.250
Nd 0.000 0.500 0.750
Co 0.500 0.500 0.500
As 0.500 0.500 0.000
As 0.000 0.000 0.000
As 0.500 0.000 0.628
As 0.000 0.500 0.372
Rh 0.000 0.000 0.500
Rh 0.500 0.000 0.876
Rh 0.000 0.500 0.124

Computed properties:
**E_tot**: -6.5829 eV/atom
**DOS at the Fermi energy**: 0.51 states/eV/atom
**DFT formation energy**: -8.535 eV per formula unit

***

(11)
Crystalline Ca6Sb2NF at its relaxed geometry, computed with PBE.

Unit cell a=6.966 b=6.966 c=9.741 alpha=90.00 beta=90.00 gamma=90.00
Atoms (fractional coordinates):
Ca 0.500 0.250 0.258
Ca 0.500 0.250 0.742
Ca 0.000 0.750 0.242
Ca 0.000 0.750 0.758
Ca 0.260 0.010 0.500
Ca 0.740 0.010 0.500
Ca 0.260 0.490 0.500
Ca 0.740 0.490 0.500
Ca 0.760 0.510 0.000
Ca 0.240 0.510 0.000
Ca 0.240 0.990 0.000
Ca 0.760 0.990 0.000
Sb 0.500 0.750 0.250
Sb 0.000 0.250 0.750
Sb 0.500 0.750 0.750
Sb 0.000 0.250 0.250
N 0.500 0.250 0.500
N 0.000 0.750 0.000
F 0.000 0.750 0.500
F 0.500 0.250 0.000

Computed properties:
**ΔE_f (raw)**: -1.255 eV per atom
**E_tot**: -4.3002 eV/atom
**DOS at the Fermi energy**: 0.63 states/eV/atom

***

(12)
Crystalline Ag12Sn5Hg2 at its relaxed geometry, computed with PBE.

Unit cell a=7.783 b=7.575 c=8.707 alpha=98.83 beta=90.00 gamma=120.91
Atoms (fractional coordinates):
Ag 0.115 0.231 0.247
Ag 0.093 0.567 0.846
Ag 0.473 0.567 0.846
Ag 0.202 0.782 0.413
Ag 0.580 0.782 0.413
Ag 0.456 0.911 0.734
Ag 0.544 0.089 0.266
Ag 0.798 0.218 0.587
Ag 0.420 0.218 0.587
Ag 0.907 0.433 0.154
Ag 0.527 0.433 0.154
Ag 0.885 0.769 0.753
Sn 0.240 0.479 0.562
Sn 0.323 0.646 0.128
Sn 0.000 0.000 0.500
Sn 0.677 0.354 0.872
Sn 0.760 0.521 0.438
Hg 0.784 0.000 0.000
Hg 0.216 0.000 0.000

Computed properties:
**E_tot**: -2.7721 eV/atom
**DOS at the Fermi energy**: 0.34 states/eV/atom
**DFT formation energy**: 2.162 eV per formula unit

***

Question: E_tot of number 5 (NaTaIn2)?
Answer: -4.1979 eV/atom

***

Question: What is the formula in the eighth record?
Answer: CeZnIrPd

***

Question: Among the records above, which one has the lowest DOS at the Fermi energy?
Answer: CsHg3Au